This record from the Alexandria database describes LaTl2Ni3F12 after structural relaxation. The functional is PBE with a Hubbard U.

For the total energy, the calculation gives -4.67 eV/atom. The density of states at the Fermi level is 0.19 states/eV/atom.

The space group is R-3m (No. 166, hexagonal axes) and the conventional cell measures 7.5113, 7.5113 and 15.7339 Å, with angles of 90.00, 90.00 and 120.00 degrees. The inequivalent atoms are La at (0.0000, 0.0000, 0.0000), Tl at (0.0000, 0.0000, 0.3929), Ni at (0.0000, 0.5000, 0.5000), F at (0.0520, 0.5260, 0.3745) and F at (0.0899, 0.5449, 0.8001).